Entry from Alexandria: Cs2TlCCl6 after structural relaxation (GGA-PBE).

a b c (Å): 7.3593 7.3593 10.3322
angles (deg): 90.00 90.00 90.00
Space group I4/mmm (No. 139)
One atom of each set of equivalent atoms:
Cs (0.0000, 0.5000, 0.2500) [4 per cell]
Tl (0.0000, 0.0000, 0.0000) [2 per cell]
C (0.0000, 0.0000, 0.5000) [2 per cell]
Cl (0.0000, 0.0000, 0.2727) [4 per cell]
Cl (0.2270, 0.2270, 0.5000) [8 per cell]

Computed properties:
Final energy, eV per atom: -3.062
DOS at the Fermi energy, states/eV per cell: 6.56


Entry from Alexandria: CsZr6CCl15 after structural relaxation (GGA-PBE).

a b c (Å): 19.0231 14.3766 10.0975
angles (deg): 90.00 90.00 90.00
Space group Pmma (No. 51)
One atom of each set of equivalent atoms:
Cs (0.2500, 0.2472, 0.1947) [4 per cell]
Zr (0.0317, 0.1136, 0.8499) [8 per cell]
Zr (0.1111, 0.0000, 0.0841) [4 per cell]
Zr (0.1641, 0.3864, 0.6847) [8 per cell]
Zr (0.2500, 0.5000, 0.4585) [2 per cell]
Zr (0.2500, 0.5000, 0.9091) [2 per cell]
C (0.0000, 0.0000, 0.0000) [2 per cell]
C (0.2500, 0.5000, 0.6836) [2 per cell]
Cl (0.0000, 0.2490, 0.0000) [4 per cell]
Cl (0.0613, 0.5000, 0.6845) [4 per cell]
Cl (0.0672, 0.2502, 0.6809) [8 per cell]
Cl (0.0702, 0.0000, 0.6700) [4 per cell]
Cl (0.0895, 0.1240, 0.2612) [8 per cell]
Cl (0.1542, 0.3769, 0.4319) [8 per cell]
Cl (0.1556, 0.3764, 0.9368) [8 per cell]
Cl (0.1586, 0.1234, 0.9287) [8 per cell]
Cl (0.2500, 0.0000, 0.1812) [2 per cell]
Cl (0.2500, 0.2509, 0.6772) [4 per cell]
Cl (0.2500, 0.5000, 0.1847) [2 per cell]

Computed properties:
Final energy, eV per atom: -5.685


Entry from Alexandria: Cs2ZrCCl6 after structural relaxation (GGA-PBE).

a b c (Å): 7.5045 7.5045 11.6377
angles (deg): 90.00 90.00 90.00
Space group I4/mmm (No. 139)
One atom of each set of equivalent atoms:
Cs (0.0000, 0.5000, 0.2500) [4 per cell]
Zr (0.0000, 0.0000, 0.0000) [2 per cell]
C (0.0000, 0.0000, 0.5000) [2 per cell]
Cl (0.0000, 0.0000, 0.2148) [4 per cell]
Cl (0.2351, 0.2351, 0.0000) [8 per cell]

Computed properties:
Final energy, eV per atom: -4.067
DOS at the Fermi energy, states/eV per cell: 8.59


Entry from Alexandria: CuCCl3 after structural relaxation (GGA-PBE).

a b c (Å): 4.4152 4.4152 4.4152
angles (deg): 90.00 90.00 90.00
Space group Pm-3m (No. 221)
One atom of each set of equivalent atoms:
Cu (0.0000, 0.0000, 0.0000) [1 per cell]
C (0.5000, 0.5000, 0.5000) [1 per cell]
Cl (0.0000, 0.5000, 0.5000) [3 per cell]

Computed properties:
Offset from the most stable computed form, meV per atom: 0
DOS at the Fermi energy, states/eV per cell: 0.00


Entry from Alexandria: CuCCl2 after structural relaxation (GGA-PBE).

a b c (Å): 2.9887 2.9887 26.3353
angles (deg): 90.00 90.00 120.00
Space group R-3m (No. 166, hexagonal axes)
One atom of each set of equivalent atoms:
Cu (0.0000, 0.0000, 0.0000) [3 per cell]
C (0.0000, 0.0000, 0.5000) [3 per cell]
Cl (0.0000, 0.0000, 0.4391) [6 per cell]

Computed properties:
Offset from the most stable computed form, meV per atom: 149
DOS at the Fermi energy, states/eV per cell: 4.92


Entry from Alexandria: CuCCl2 after structural relaxation (GGA-PBE).

a b c (Å): 4.9191 4.9191 12.6882
angles (deg): 90.00 90.00 90.00
Space group I-42d (No. 122)
One atom of each set of equivalent atoms:
Cu (0.0000, 0.0000, 0.0000) [4 per cell]
C (0.0000, 0.0000, 0.5000) [4 per cell]
Cl (0.2446, 0.2500, 0.6250) [8 per cell]

Computed properties:
Offset from the most stable computed form, meV per atom: 0
DOS at the Fermi energy, states/eV per cell: 0.12


Volume
In order: 28.0, 30.0, 32.8, 17.2, 17.0, 19.2
Unit: A^3/atom